No. 1
Material: Pm2AgSn3Se6
Method: DFT, GGA-PBE
State: relaxed Values from VASP.

The structure in Quantum ESPRESSO input format:
```
&SYSTEM
  ibrav = 0, nat = 12, ntyp = 4
/
ATOMIC_SPECIES
Se 78.96 Se.upf
Sn 118.71 Sn.upf
Pm 145.00 Pm.upf
Ag 107.87 Ag.upf
ATOMIC_POSITIONS crystal
Se 0.005 0.240 0.010
Sn 0.161 0.844 0.322
Se 0.675 0.087 0.351
Se 0.325 0.913 0.649
Pm 0.164 0.325 0.328
Pm 0.836 0.675 0.672
Sn 0.839 0.156 0.678
Se 0.995 0.760 0.990
Se 0.669 0.573 0.338
Sn 0.500 0.500 0.000
Se 0.331 0.427 0.662
Ag 0.500 0.000 0.000
CELL_PARAMETERS angstrom
4.295 0.000 0.000
0.000 8.409 0.184
-2.147 -2.541 9.055
```

***

No. 2
Material: PmAgSnSe3
Method: DFT, GGA-PBE
State: relaxed Values from VASP.

The structure in Quantum ESPRESSO input format:
```
&SYSTEM
  ibrav = 0, nat = 12, ntyp = 4
/
ATOMIC_SPECIES
Pm 145.00 Pm.upf
Se 78.96 Se.upf
Sn 118.71 Sn.upf
Ag 107.87 Ag.upf
ATOMIC_POSITIONS crystal
Pm 0.250 0.167 0.223
Se 0.750 0.911 0.125
Se 0.250 0.089 0.875
Sn 0.750 0.341 0.835
Sn 0.250 0.659 0.165
Pm 0.750 0.833 0.777
Se 0.750 0.241 0.465
Ag 0.750 0.907 0.417
Se 0.750 0.396 0.141
Se 0.250 0.604 0.859
Ag 0.250 0.093 0.583
Se 0.250 0.759 0.535
CELL_PARAMETERS angstrom
-2.761 1.096 -2.766
-5.978 0.768 6.272
3.425 8.633 0.002
```

***

No. 3
Material: Sr2PmAgSe4
Method: DFT, GGA-PBE
State: relaxed Values from VASP.

The structure in Quantum ESPRESSO input format:
```
&SYSTEM
  ibrav = 0, nat = 8, ntyp = 4
/
ATOMIC_SPECIES
Se 78.96 Se.upf
Pm 145.00 Pm.upf
Ag 107.87 Ag.upf
Sr 87.62 Sr.upf
ATOMIC_POSITIONS crystal
Se 0.500 0.246 0.230
Pm 0.500 0.500 0.000
Ag 0.000 0.000 0.000
Sr 0.000 0.500 0.500
Se 0.000 0.738 0.238
Se 0.000 0.262 0.762
Sr 0.500 0.000 0.500
Se 0.500 0.754 0.770
CELL_PARAMETERS angstrom
4.336 0.000 0.000
0.000 7.488 0.091
0.000 -2.656 6.971
```

***

No. 4
Material: Sr2PmAg2Se4
Method: DFT, GGA-PBE
State: relaxed Values from VASP.

The structure in Quantum ESPRESSO input format:
```
&SYSTEM
  ibrav = 0, nat = 9, ntyp = 4
/
ATOMIC_SPECIES
Ag 107.87 Ag.upf
Se 78.96 Se.upf
Sr 87.62 Sr.upf
Pm 145.00 Pm.upf
ATOMIC_POSITIONS crystal
Ag 0.688 0.011 0.375
Se 0.200 0.255 0.400
Sr 0.135 0.583 0.271
Pm 0.000 0.000 0.000
Se 0.485 0.263 0.970
Se 0.800 0.745 0.600
Sr 0.865 0.417 0.729
Se 0.515 0.737 0.030
Ag 0.312 0.989 0.625
CELL_PARAMETERS angstrom
-0.047 3.191 2.618
-7.926 -0.025 -0.113
3.273 -6.162 4.316
```

***

No. 5
Material: SrPmAg2Se4
Method: DFT, GGA-PBE
State: relaxed Values from VASP.

The structure in Quantum ESPRESSO input format:
```
&SYSTEM
  ibrav = 0, nat = 8, ntyp = 4
/
ATOMIC_SPECIES
Se 78.96 Se.upf
Ag 107.87 Ag.upf
Pm 145.00 Pm.upf
Sr 87.62 Sr.upf
ATOMIC_POSITIONS crystal
Se 0.995 0.005 0.440
Se 0.005 0.560 0.995
Ag 0.249 0.251 0.251
Ag 0.751 0.749 0.749
Pm 0.000 0.000 0.000
Se 0.560 0.440 0.005
Se 0.440 0.995 0.560
Sr 0.500 0.500 0.500
CELL_PARAMETERS angstrom
-2.743 -6.694 1.499
-0.256 -4.949 -4.364
3.668 -5.157 1.889
```

***

No. 6
Material: TbPmAg2Se4
Method: DFT, GGA-PBE
State: relaxed Values from VASP.

The structure in Quantum ESPRESSO input format:
```
&SYSTEM
  ibrav = 0, nat = 8, ntyp = 4
/
ATOMIC_SPECIES
Se 78.96 Se.upf
Pm 145.00 Pm.upf
Tb 158.93 Tb.upf
Ag 107.87 Ag.upf
ATOMIC_POSITIONS crystal
Se 0.500 0.749 0.256
Pm 0.500 0.500 0.000
Se 0.000 0.751 0.747
Tb 0.000 0.500 0.500
Ag 0.000 0.000 0.000
Ag 0.500 0.000 0.500
Se 0.000 0.249 0.253
Se 0.500 0.251 0.744
CELL_PARAMETERS angstrom
4.245 0.000 0.000
0.000 6.857 0.012
0.000 2.567 6.881
```

***

No. 7
Material: Pm8AgTe4Se3
Method: DFT, GGA-PBE
State: relaxed Values from VASP.

The structure in Quantum ESPRESSO input format:
```
&SYSTEM
  ibrav = 0, nat = 16, ntyp = 4
/
ATOMIC_SPECIES
Pm 145.00 Pm.upf
Te 127.60 Te.upf
Se 78.96 Se.upf
Ag 107.87 Ag.upf
ATOMIC_POSITIONS crystal
Pm 0.755 0.271 0.509
Pm 0.740 0.719 0.480
Te 0.000 0.000 0.000
Pm 0.261 0.271 0.016
Te 0.000 0.000 0.500
Se 0.500 0.500 0.500
Pm 0.245 0.729 0.984
Se 0.500 0.500 0.000
Pm 0.245 0.729 0.491
Pm 0.260 0.281 0.520
Pm 0.739 0.729 0.984
Ag 0.000 0.500 0.000
Te 0.500 0.000 0.500
Se 0.000 0.500 0.500
Pm 0.755 0.271 0.016
Te 0.500 0.000 0.000
CELL_PARAMETERS angstrom
8.646 0.000 0.000
0.000 8.758 0.071
-4.323 -4.321 6.118
```

***

No. 8
Material: PmAg2TeSe4
Method: DFT, GGA-PBE
State: relaxed Values from VASP.

The structure in Quantum ESPRESSO input format:
```
&SYSTEM
  ibrav = 0, nat = 16, ntyp = 4
/
ATOMIC_SPECIES
Se 78.96 Se.upf
Pm 145.00 Pm.upf
Ag 107.87 Ag.upf
Te 127.60 Te.upf
ATOMIC_POSITIONS crystal
Se 0.216 0.196 0.949
Se 0.758 0.255 0.502
Pm 0.000 0.500 0.500
Ag 0.500 0.000 0.000
Se 0.245 0.742 0.998
Te 0.500 0.500 0.500
Ag 0.500 0.500 0.000
Ag 0.500 0.000 0.500
Se 0.755 0.258 0.002
Pm 0.000 0.500 0.000
Ag 0.000 0.000 0.500
Se 0.784 0.804 0.051
Se 0.696 0.716 0.449
Se 0.242 0.745 0.498
Se 0.304 0.284 0.551
Te 0.000 0.000 0.000
CELL_PARAMETERS angstrom
8.302 0.268 0.056
0.262 8.302 0.056
-4.189 -4.192 5.912
```

***

No. 9
Material: PmAgTeSe
Method: DFT, GGA-PBE
State: relaxed Values from VASP.

The structure in Quantum ESPRESSO input format:
```
&SYSTEM
  ibrav = 0, nat = 8, ntyp = 4
/
ATOMIC_SPECIES
Te 127.60 Te.upf
Pm 145.00 Pm.upf
Se 78.96 Se.upf
Ag 107.87 Ag.upf
ATOMIC_POSITIONS crystal
Te 0.389 0.389 0.834
Pm 0.112 0.112 0.665
Se 0.197 0.197 0.410
Se 0.803 0.803 0.590
Te 0.611 0.611 0.166
Ag 0.308 0.308 0.077
Pm 0.888 0.888 0.335
Ag 0.692 0.692 0.923
CELL_PARAMETERS angstrom
4.729 0.000 0.000
2.365 4.095 0.000
2.365 1.365 11.888
```

***

No. 10
Material: PmTl2Ag2Se4
Method: DFT, GGA-PBE
State: relaxed Values from VASP.

The structure in Quantum ESPRESSO input format:
```
&SYSTEM
  ibrav = 0, nat = 9, ntyp = 4
/
ATOMIC_SPECIES
Se 78.96 Se.upf
Ag 107.87 Ag.upf
Tl 204.38 Tl.upf
Pm 145.00 Pm.upf
ATOMIC_POSITIONS crystal
Se 0.201 0.205 0.403
Ag 0.680 0.989 0.360
Se 0.514 0.752 0.028
Tl 0.130 0.564 0.260
Pm 0.000 0.000 0.000
Se 0.486 0.248 0.972
Se 0.799 0.795 0.597
Tl 0.870 0.436 0.740
Ag 0.320 0.011 0.640
CELL_PARAMETERS angstrom
-1.923 -3.062 2.099
4.552 -5.486 -3.830
4.545 3.755 5.476
```

***

No. 11
Material: Pm3TlAg2Se6
Method: DFT, GGA-PBE
State: relaxed Values from VASP.

The structure in Quantum ESPRESSO input format:
```
&SYSTEM
  ibrav = 0, nat = 12, ntyp = 4
/
ATOMIC_SPECIES
Ag 107.87 Ag.upf
Se 78.96 Se.upf
Tl 204.38 Tl.upf
Pm 145.00 Pm.upf
ATOMIC_POSITIONS crystal
Ag 0.214 0.241 0.427
Se 0.984 0.265 0.969
Tl 0.500 0.000 0.000
Se 0.673 0.064 0.345
Pm 0.834 0.185 0.668
Pm 0.166 0.815 0.332
Pm 0.500 0.500 0.000
Se 0.327 0.936 0.655
Se 0.345 0.420 0.690
Se 0.655 0.580 0.310
Se 0.016 0.735 0.031
Ag 0.786 0.759 0.573
CELL_PARAMETERS angstrom
4.329 0.000 0.000
0.000 8.778 -0.074
-2.164 -2.980 9.581
```

***

No. 12
Material: PmTlAgSe2
Method: DFT, GGA-PBE
State: relaxed Values from VASP.

The structure in Quantum ESPRESSO input format:
```
&SYSTEM
  ibrav = 0, nat = 10, ntyp = 4
/
ATOMIC_SPECIES
Tl 204.38 Tl.upf
Se 78.96 Se.upf
Ag 107.87 Ag.upf
Pm 145.00 Pm.upf
ATOMIC_POSITIONS crystal
Tl 0.821 0.500 0.250
Se 0.685 0.268 0.559
Ag 0.000 0.000 0.500
Se 0.685 0.732 0.941
Pm 0.490 0.000 0.750
Ag 0.000 0.000 0.000
Se 0.315 0.268 0.059
Tl 0.179 0.500 0.750
Pm 0.510 0.000 0.250
Se 0.315 0.732 0.441
CELL_PARAMETERS angstrom
5.924 0.000 0.000
0.000 6.664 0.033
0.000 -1.988 7.800
```

***

No. 13
Material: Pm2TmAgSe5
Method: DFT, GGA-PBE
State: relaxed Values from VASP.

The structure in Quantum ESPRESSO input format:
```
&SYSTEM
  ibrav = 0, nat = 18, ntyp = 4
/
ATOMIC_SPECIES
Se 78.96 Se.upf
Pm 145.00 Pm.upf
Tm 168.93 Tm.upf
Ag 107.87 Ag.upf
ATOMIC_POSITIONS crystal
Se 0.358 0.717 0.000
Pm 0.874 0.749 0.805
Tm 0.804 0.609 0.509
Se 0.286 0.571 0.666
Se 0.305 0.610 0.346
Ag 0.442 0.885 0.459
Se 0.642 0.283 0.500
Se 0.714 0.429 0.166
Pm 0.126 0.251 0.305
Se 0.695 0.390 0.846
Se 0.954 0.907 0.580
Pm 0.110 0.220 0.686
Pm 0.890 0.780 0.186
Se 0.502 0.005 0.273
Se 0.498 0.995 0.773
Ag 0.558 0.115 0.959
Se 0.046 0.093 0.080
Tm 0.196 0.391 0.009
CELL_PARAMETERS angstrom
4.122 0.000 0.000
-2.061 8.707 0.000
0.000 0.000 12.478
```

***

No. 14
Material: Pm2TmAg3Se6
Method: DFT, GGA-PBE
State: relaxed Values from VASP.

The structure in Quantum ESPRESSO input format:
```
&SYSTEM
  ibrav = 0, nat = 12, ntyp = 4
/
ATOMIC_SPECIES
Ag 107.87 Ag.upf
Se 78.96 Se.upf
Tm 168.93 Tm.upf
Pm 145.00 Pm.upf
ATOMIC_POSITIONS crystal
Ag 0.836 0.272 0.672
Se 0.981 0.189 0.961
Se 0.658 0.536 0.315
Se 0.019 0.811 0.039
Se 0.324 0.880 0.648
Ag 0.164 0.728 0.328
Tm 0.500 0.000 0.000
Pm 0.160 0.314 0.321
Se 0.342 0.464 0.685
Pm 0.840 0.686 0.679
Ag 0.500 0.500 0.000
Se 0.676 0.120 0.352
CELL_PARAMETERS angstrom
-0.190 -0.324 -4.250
9.372 -2.430 -0.233
-3.706 -7.004 2.840
```

***

No. 15
Material: Pm2UAgSe6
Method: DFT, GGA-PBE
State: relaxed Values from VASP.

The structure in Quantum ESPRESSO input format:
```
&SYSTEM
  ibrav = 0, nat = 10, ntyp = 4
/
ATOMIC_SPECIES
Se 78.96 Se.upf
Pm 145.00 Pm.upf
U 238.03 U.upf
Ag 107.87 Ag.upf
ATOMIC_POSITIONS crystal
Se 0.750 0.758 0.758
Se 0.750 0.242 0.758
Pm 0.000 0.500 0.000
Se 0.750 0.242 0.242
U 0.595 0.500 0.500
Se 0.149 0.000 0.000
Se 0.191 0.500 0.500
Ag 0.511 0.000 0.000
Pm 0.000 0.000 0.500
Se 0.750 0.758 0.242
CELL_PARAMETERS angstrom
-2.897 5.791 -2.447
-6.082 -2.637 0.960
-0.130 2.552 6.192
```

***

No. 16
Material: PmY2Ag3Se6
Method: DFT, GGA-PBE
State: relaxed Values from VASP.

The structure in Quantum ESPRESSO input format:
```
&SYSTEM
  ibrav = 0, nat = 12, ntyp = 4
/
ATOMIC_SPECIES
Se 78.96 Se.upf
Ag 107.87 Ag.upf
Pm 145.00 Pm.upf
Y 88.91 Y.upf
ATOMIC_POSITIONS crystal
Se 0.688 0.146 0.377
Ag 0.500 0.500 0.000
Se 0.342 0.474 0.684
Se 0.658 0.526 0.316
Se 0.312 0.854 0.623
Ag 0.826 0.042 0.653
Pm 0.500 0.000 0.000
Ag 0.174 0.958 0.347
Se 0.014 0.798 0.027
Y 0.837 0.663 0.673
Se 0.986 0.202 0.973
Y 0.163 0.337 0.327
CELL_PARAMETERS angstrom
-1.994 1.663 3.354
3.668 -7.215 5.760
6.452 5.178 -1.414
```

***

No. 17
Material: PmYAg2Se4
Method: DFT, GGA-PBE
State: relaxed Values from VASP.

The structure in Quantum ESPRESSO input format:
```
&SYSTEM
  ibrav = 0, nat = 8, ntyp = 4
/
ATOMIC_SPECIES
Y 88.91 Y.upf
Se 78.96 Se.upf
Pm 145.00 Pm.upf
Ag 107.87 Ag.upf
ATOMIC_POSITIONS crystal
Y 0.000 0.500 0.500
Se 0.000 0.250 0.254
Pm 0.500 0.500 0.000
Ag 0.000 0.000 0.000
Se 0.500 0.749 0.256
Ag 0.500 0.000 0.500
Se 0.500 0.251 0.744
Se 0.000 0.750 0.746
CELL_PARAMETERS angstrom
-3.788 -1.602 -1.012
-0.576 -2.631 6.322
-3.231 4.798 4.500
```

***

No. 18
Material: Pm3ZrAg3Se8
Method: DFT, GGA-PBE
State: relaxed Values from VASP.

The structure in Quantum ESPRESSO input format:
```
&SYSTEM
  ibrav = 0, nat = 15, ntyp = 4
/
ATOMIC_SPECIES
Ag 107.87 Ag.upf
Zr 91.22 Zr.upf
Se 78.96 Se.upf
Pm 145.00 Pm.upf
ATOMIC_POSITIONS crystal
Ag 0.000 0.000 0.000
Zr 0.000 0.000 0.500
Ag 0.500 0.500 0.000
Se 0.236 0.004 0.738
Se 0.764 0.996 0.262
Ag 0.000 0.500 0.000
Pm 0.500 0.000 0.500
Se 0.752 0.504 0.754
Se 0.764 0.529 0.262
Se 0.248 0.496 0.246
Pm 0.500 0.500 0.500
Pm 0.000 0.500 0.500
Se 0.768 0.004 0.738
Se 0.232 0.996 0.262
Se 0.236 0.471 0.738
CELL_PARAMETERS angstrom
8.406 0.000 0.000
-4.203 7.279 -0.040
0.000 -4.846 6.569
```

***

No. 19
Material: Pm3Si3Ag2
Method: DFT, GGA-PBE
State: relaxed Values from VASP.

The structure in Quantum ESPRESSO input format:
```
&SYSTEM
  ibrav = 0, nat = 16, ntyp = 3
/
ATOMIC_SPECIES
Pm 145.00 Pm.upf
Si 28.09 Si.upf
Ag 107.87 Ag.upf
ATOMIC_POSITIONS crystal
Pm 0.924 0.847 0.117
Si 0.335 0.670 0.250
Pm 0.076 0.153 0.883
Pm 0.639 0.278 0.250
Pm 0.924 0.847 0.383
Ag 0.216 0.433 0.081
Si 0.593 0.186 0.043
Ag 0.784 0.567 0.919
Si 0.407 0.814 0.957
Pm 0.361 0.722 0.750
Si 0.665 0.330 0.750
Ag 0.216 0.433 0.419
Si 0.593 0.186 0.457
Pm 0.076 0.153 0.617
Ag 0.784 0.567 0.581
Si 0.407 0.814 0.543
CELL_PARAMETERS angstrom
-0.554 -3.834 1.963
5.345 0.293 -2.723
5.862 5.340 12.080
```

***

No. 20
Material: Pm3Si4Ag
Method: DFT, GGA-PBE
State: relaxed Values from VASP.

The structure in Quantum ESPRESSO input format:
```
&SYSTEM
  ibrav = 0, nat = 8, ntyp = 3
/
ATOMIC_SPECIES
Pm 145.00 Pm.upf
Ag 107.87 Ag.upf
Si 28.09 Si.upf
ATOMIC_POSITIONS crystal
Pm 0.808 0.808 0.617
Ag 0.500 0.000 0.000
Si 0.378 0.176 0.755
Si 0.622 0.824 0.245
Si 0.378 0.579 0.755
Pm 0.000 0.500 0.000
Si 0.622 0.421 0.245
Pm 0.192 0.192 0.383
CELL_PARAMETERS angstrom
-1.097 -2.044 3.698
-3.921 -3.178 -2.920
7.780 -2.654 -1.736
```

***

No. 21
! PmSi2Ag | the Alexandria database | GGA-PBE | relaxed; values from VASP
&SYSTEM
  ibrav = 0, nat = 4, ntyp = 3
/
ATOMIC_SPECIES
Pm 145.00 Pm.upf
Ag 107.87 Ag.upf
Si 28.09 Si.upf
ATOMIC_POSITIONS crystal
Pm 0.500 0.500 0.500
Ag 0.500 0.000 0.000
Si 0.000 0.500 0.000
Si 0.000 0.000 0.500
CELL_PARAMETERS angstrom
4.124 0.000 0.000
0.000 4.382 0.000
0.000 0.000 4.382
! - Excess energy over the best structure of this formula in the dataset: 108.4 kJ/mol of formula units

***

For each record above, in turn, the calculated total magnetization values are 0.00, 0.00, 0.00, 0.00, 0.00, 0.00, 0.00, 0.00, 0.00, 0.00, 0.00, 0.00, 0.00, 0.00, 0.10, 0.00, 0.00, 0.00, 0.11, 0.00, 0.00 μB per atom.
For each record above, in turn, the calculated formation energy (no corrections) values are -0.8546, -0.9201, -1.5782, -1.2867, -1.0318, -1.1630, -1.4301, -0.5467, -1.0822, -0.6845, -1.2171, -0.7482, -1.5336, -1.1675, -0.9855, -1.1858, -1.1647, -1.1766, -0.5835, -0.4852, -0.2060 eV/atom.
For each record above, in turn, the calculated volume values are 27.4, 26.9, 28.4, 26.2, 27.6, 25.0, 29.1, 25.7, 28.8, 27.5, 30.3, 30.8, 24.9, 27.3, 31.1, 27.4, 25.0, 26.7, 22.0, 24.1, 19.8 Å³ per atom.